The following is a GGA+U calculation of Fe3TcF after structural relaxation, from Alexandria.

Summary:
Crystal system ... cubic
Space group ... No. 221
VASP energy ... -4.46 eV/atom
V ... 21.9 A^3/atom
Theoretical density ... 4.31 Mg/m³

Cell lengths 4.786, 4.786, 4.786 Å; angles 90.00, 90.00, 90.00 degrees
Fractional coordinates of all 5 atoms:
Fe 0.000 0.000 0.500
Fe 0.000 0.500 0.000
Fe 0.500 0.000 0.000
Tc 0.000 0.000 0.000
F 0.500 0.500 0.500